# 1
Computed, not measured: crystalline TaCoPb2O6 at its relaxed geometry at the PBE with a Hubbard U level of DFT.

Computed properties:
The total magnetic moment is 0.000 μB per formula unit. Its space group is I4/mmm (139). Its total DFT energy (no corrections) is -7.041 eV/atom.

Cell: 5.5483 5.5483 5.5483 Å, 120.08 120.08 89.86°
Last column: nearest neighbours and their distance in Å.
Atoms (fractional coordinates):
O 0.2463 0.2463 0.4925  1 Co 1.93, 1 Ta 1.99
O 0.7537 0.2463 0.0000  1 Co 1.93, 1 Ta 1.99
Pb 0.7500 0.2500 0.5000  12 O 2.77
O 0.2463 0.7537 0.0000  1 Co 1.93, 1 Ta 1.99
O 0.7537 0.7537 0.0000  1 Co 1.94, 1 Ta 1.99
Ta 0.5000 0.5000 0.0000  6 O 1.99
Pb 0.2500 0.7500 0.5000  12 O 2.77
O 0.2463 0.2463 0.0000  1 Co 1.94, 1 Ta 1.99
Co 0.0000 0.0000 0.0000  6 O 1.93-1.94
O 0.7537 0.7537 0.5075  1 Co 1.93, 1 Ta 1.99

# 2
Computed, not measured: crystalline Y2CoPbO6 at its relaxed geometry at the PBE with a Hubbard U level of DFT.

Computed properties:
The total magnetic moment is 3.000 μB per formula unit. Its space group is P2_1/c (14). Its total DFT energy (no corrections) is -7.336 eV/atom.

Cell: 5.4283 5.7920 9.5286 Å, 90.00 122.87 90.00°
Last column: nearest neighbours and their distance in Å.
Atoms (fractional coordinates):
O 0.8870 0.0634 0.7448  1 Co 2.16, 1 Pb 2.19, 2 Y 2.24-2.30
O 0.2681 0.3123 0.0735  1 Co 2.05, 1 Pb 2.18, 1 Y 2.25
O 0.3913 0.8044 0.0704  1 Co 2.08, 1 Pb 2.17, 1 Y 2.27
Y 0.7192 0.0723 0.2468  5 O 2.24-2.50
O 0.3913 0.6956 0.5704  1 Co 2.08, 1 Pb 2.17, 1 Y 2.27
Y 0.2808 0.5723 0.2532  5 O 2.24-2.50
Y 0.7192 0.4277 0.7468  5 O 2.24-2.50
O 0.1130 0.5634 0.7552  1 Co 2.16, 1 Pb 2.19, 2 Y 2.24-2.30
O 0.7319 0.8123 0.4265  1 Co 2.05, 1 Pb 2.18, 1 Y 2.25
O 0.6087 0.3044 0.4296  1 Co 2.08, 1 Pb 2.17, 1 Y 2.27
O 0.8870 0.4366 0.2448  1 Co 2.16, 1 Pb 2.19, 2 Y 2.24-2.30
O 0.6087 0.1956 0.9296  1 Co 2.08, 1 Pb 2.17, 1 Y 2.27
Pb 0.0000 0.5000 0.5000  6 O 2.17-2.19
Co 0.5000 0.5000 0.0000  6 O 2.05-2.16
Y 0.2808 0.9277 0.7532  5 O 2.24-2.50
O 0.1130 0.9366 0.2552  1 Co 2.16, 1 Pb 2.19, 2 Y 2.24-2.30
O 0.2681 0.1877 0.5735  1 Co 2.05, 1 Pb 2.18, 1 Y 2.25
Pb 0.0000 0.0000 0.0000  6 O 2.17-2.19
Co 0.5000 0.0000 0.5000  6 O 2.05-2.16
O 0.7319 0.6877 0.9265  1 Co 2.05, 1 Pb 2.18, 1 Y 2.25